Density functional theory data (PBEsol) for a geometry-optimized InCuTc structure.

Calculated values
Total DFT energy (no corrections) (eV per atom): -5.558
Volume (Å³ per atom): 17.1
Magnetic moment (Bohr magnetons per cell): 7.20
ΔE_f (eV per atom): 0.636

Geometry as POSCAR:
```
InCuTc
1.0
5.893 0.000 0.000
0.000 5.893 0.000
0.000 0.000 5.893
In Cu Tc
4 4 4
direct
0.000 0.000 0.000
0.000 0.500 0.500
0.500 0.000 0.500
0.500 0.500 0.000
0.250 0.250 0.250
0.250 0.750 0.750
0.750 0.250 0.750
0.750 0.750 0.250
0.000 0.000 0.500
0.000 0.500 0.000
0.500 0.000 0.000
0.500 0.500 0.500
```